1.
Below is an optimized crystal structure of AlZnPt2, with properties calculated at the GGA-PBEsol level.

a b c (Å): 2.8104 4.4478 4.5184
angles (deg): 90.00 90.00 90.00
With the nearest neighbours (Å) after each atom.
Positions (direct):
Al  0.0000  0.0000  0.0000  8 Pt 2.65-2.67, 2 Al 2.81, 2 Zn 2.96
Zn  0.0000  0.5000  0.4339  8 Pt 2.65-2.66, 2 Zn 2.81
Pt  0.5000  0.0000  0.4983  4 Zn 2.65, 4 Al 2.65-2.67, 2 Pt 2.81
Pt  0.5000  0.5000  0.9346  4 Al 2.65, 4 Zn 2.66, 2 Pt 2.81

## Properties
The formation enthalpy at 0 K comes out at -0.761 eV/atom. The space group is No. 25. Its density of states at the Fermi level is 1.2 states/eV/cell. The value obtained for the calculated volume is 14.120 Å³ per atom. As for the crystal system: orthorhombic.



2.
Below is an optimized crystal structure of Be2Tc2Ge, with properties calculated at the GGA-PBEsol level.

a b c (Å): 5.8915 5.8915 3.1697
angles (deg): 90.00 90.00 90.00
With the nearest neighbours (Å) after each atom.
Positions (direct):
Be  0.1195  0.3805  0.0000  1 Be 1.99
Be  0.3805  0.8805  0.0000  1 Be 1.99
Be  0.6195  0.1195  0.0000  1 Be 1.99
Be  0.8805  0.6195  0.0000  1 Be 1.99
Tc  0.1773  0.6773  0.5000  6 Be 2.32-2.38
Tc  0.3227  0.1773  0.5000  6 Be 2.32-2.38
Tc  0.6773  0.8227  0.5000  6 Be 2.32-2.38
Tc  0.8227  0.3227  0.5000  6 Be 2.32-2.38
Ge  0.0000  0.0000  0.0000  4 Be 2.35
Ge  0.5000  0.5000  0.0000  4 Be 2.35

## Properties
The formation enthalpy at 0 K comes out at -0.283 eV/atom. The space group is No. 127. Its density of states at the Fermi level is 2.1 states/eV/cell. The value obtained for the calculated volume is 11.002 Å³ per atom. As for the crystal system: tetragonal.



3.
Below is an optimized crystal structure of Rb2GaCuF6, with properties calculated at the GGA-PBEsol level.

a b c (Å): 5.8561 5.8561 5.8561
angles (deg): 60.00 60.00 60.00
With the nearest neighbours (Å) after each atom.
Positions (direct):
Rb  0.2500  0.2500  0.2500  12 F 2.93
Rb  0.7500  0.7500  0.7500  12 F 2.93
Ga  0.0000  0.0000  0.0000  6 F 1.93
Cu  0.5000  0.5000  0.5000  6 F 2.21
F  0.2327  0.2327  0.7673  1 Ga 1.93
F  0.2327  0.7673  0.2327  1 Ga 1.93
F  0.2327  0.7673  0.7673  1 Ga 1.93
F  0.7673  0.2327  0.2327  1 Ga 1.93
F  0.7673  0.2327  0.7673  1 Ga 1.93
F  0.7673  0.7673  0.2327  1 Ga 1.93

## Properties
The space group is No. 225. Its density of states at the Fermi level is 3.0 states/eV/cell. The calculation puts the energy relative to the elements, uncorrected at -2404 meV/atom. The value obtained for the calculated volume is 14.201 Å³ per atom. As for the crystal system: cubic.



4.
Below is an optimized crystal structure of AlGaO3, with properties calculated at the GGA-PBEsol level.

a b c (Å): 3.7350 3.7350 3.7350
angles (deg): 90.00 90.00 90.00
With the nearest neighbours (Å) after each atom.
Positions (direct):
Al  0.0000  0.0000  0.0000  12 O 2.64
Ga  0.5000  0.5000  0.5000  6 O 1.87
O  0.0000  0.5000  0.5000  2 Ga 1.87
O  0.5000  0.0000  0.5000  2 Ga 1.87
O  0.5000  0.5000  0.0000  2 Ga 1.87

## Properties
The space group is No. 221. Its density of states at the Fermi level is 2.9 states/eV/cell. The calculation puts the energy relative to the elements, uncorrected at -1065 meV/atom. The value obtained for the calculated volume is 10.421 Å³ per atom. As for the crystal system: cubic.



Q: Look up the calculated volume of the first one.
A: 14.120 Å³ per atom



Q: Among the records above, which one has the lowest calculated volume?
A: AlGaO3